# 1
Here is LiAgW2 after structural relaxation from Alexandria. Energies are from PBE.

abc: 6.279 6.279 6.279
angles: 90.00 90.00 90.00
Space group Fm-3m (No. 225)
Symmetry-distinct sites (fractional):
Li 0.000 0.000 0.000 (multiplicity 4)
Ag 0.000 0.000 0.500 (multiplicity 4)
W 0.250 0.250 0.250 (multiplicity 8)

# 2
Here is LiAg2W after structural relaxation from Alexandria. Energies are from PBE.

abc: 3.982 3.982 8.376
angles: 90.00 90.00 90.00
Space group I-4m2 (No. 119)
Symmetry-distinct sites (fractional):
Li 0.000 0.000 0.000 (multiplicity 2)
Ag 0.000 0.000 0.500 (multiplicity 2)
Ag 0.000 0.500 0.250 (multiplicity 2)
W 0.000 0.500 0.750 (multiplicity 2)

# 3
Here is Li2AgW after structural relaxation from Alexandria. Energies are from PBE.

abc: 9.514 2.622 5.198
angles: 90.00 95.88 90.00
Space group Cm (No. 8)
Symmetry-distinct sites (fractional):
Li 0.000 0.000 0.000 (multiplicity 2)
Li 0.243 0.000 0.784 (multiplicity 2)
Ag 0.000 0.500 0.501 (multiplicity 2)
W 0.252 0.500 0.288 (multiplicity 2)

# 4
Here is Li2AgW after structural relaxation from Alexandria. Energies are from PBE.

abc: 5.715 8.880 2.548
angles: 90.00 90.00 90.00
Space group Cmmm (No. 65)
Symmetry-distinct sites (fractional):
Li 0.250 0.250 0.000 (multiplicity 4)
Ag 0.000 0.000 0.500 (multiplicity 2)
W 0.000 0.500 0.500 (multiplicity 2)

# 5
Here is LiAg2W after structural relaxation from Alexandria. Energies are from PBE.

abc: 2.694 4.974 10.065
angles: 90.00 90.00 90.00
Space group Imm2 (No. 44)
Symmetry-distinct sites (fractional):
Li 0.000 0.000 0.000 (multiplicity 2)
Ag 0.000 0.000 0.489 (multiplicity 2)
Ag 0.000 0.500 0.738 (multiplicity 2)
W 0.000 0.500 0.237 (multiplicity 2)

# 6
Here is LiAg2W after structural relaxation from Alexandria. Energies are from PBE.

abc: 2.660 4.364 5.729
angles: 90.00 90.00 90.00
Space group Pmm2 (No. 25)
Symmetry-distinct sites (fractional):
Li 0.000 0.000 0.000 (multiplicity 1)
Ag 0.000 0.000 0.495 (multiplicity 1)
Ag 0.500 0.500 0.796 (multiplicity 1)
W 0.500 0.500 0.288 (multiplicity 1)

# 7
Here is Li2AgW after structural relaxation from Alexandria. Energies are from PBE.

abc: 6.138 6.138 6.138
angles: 90.00 90.00 90.00
Space group Fm-3m (No. 225)
Symmetry-distinct sites (fractional):
Li 0.250 0.250 0.250 (multiplicity 8)
Ag 0.000 0.000 0.000 (multiplicity 4)
W 0.000 0.000 0.500 (multiplicity 4)

# 8
Here is LiAg2W after structural relaxation from Alexandria. Energies are from PBE.

abc: 3.867 3.867 18.624
angles: 90.00 90.00 90.00
Space group I-42d (No. 122)
Symmetry-distinct sites (fractional):
Li 0.000 0.000 0.000 (multiplicity 4)
Ag 0.241 0.250 0.125 (multiplicity 8)
W 0.000 0.000 0.500 (multiplicity 4)

# 9
Here is LiAgW2 after structural relaxation from Alexandria. Energies are from PBE.

abc: 3.682 3.682 9.224
angles: 90.00 90.00 90.00
Space group I4/mmm (No. 139)
Symmetry-distinct sites (fractional):
Li 0.000 0.000 0.000 (multiplicity 2)
Ag 0.000 0.000 0.500 (multiplicity 2)
W 0.000 0.500 0.250 (multiplicity 4)

# 10
Here is LiAgW2 after structural relaxation from Alexandria. Energies are from PBE.

abc: 2.661 4.242 5.759
angles: 90.00 101.38 90.00
Space group Pm (No. 6)
Symmetry-distinct sites (fractional):
Li 0.000 0.000 0.000 (multiplicity 1)
Ag 0.181 0.500 0.778 (multiplicity 1)
W 0.533 0.000 0.483 (multiplicity 1)
W 0.770 0.500 0.257 (multiplicity 1)

# 11
Here is Li2AgW after structural relaxation from Alexandria. Energies are from PBE.

abc: 2.625 4.813 9.805
angles: 90.00 90.00 90.00
Space group Imm2 (No. 44)
Symmetry-distinct sites (fractional):
Li 0.000 0.000 0.000 (multiplicity 2)
Li 0.000 0.500 0.259 (multiplicity 2)
Ag 0.000 0.500 0.732 (multiplicity 2)
W 0.000 0.000 0.492 (multiplicity 2)

# 12
Here is LiAg2W after structural relaxation from Alexandria. Energies are from PBE.

abc: 6.338 7.842 2.685
angles: 90.00 90.00 90.00
Space group Cmmm (No. 65)
Symmetry-distinct sites (fractional):
Li 0.000 0.000 0.000 (multiplicity 2)
Ag 0.250 0.250 0.500 (multiplicity 4)
W 0.000 0.500 0.000 (multiplicity 2)

Short version: polymorph energy (0 for the lowest one) = 0.887; 0.483; 0.297; 0.305; 0.228; 0.193; 0.678; 0.805; 0.274; 0.165; 0.341; 0.089 eV per atom, in the order given.